(1)
The following is a DFT calculation (GGA-PBE) of a relaxed structure of CaOs3F.

The structure in POSCAR format:
```
CaOs3F
1.0
-3.103 -1.200 -2.813
0.908 -4.188 0.786
-2.920 -0.026 3.233
Ca F Os
1 1 3
Cartesian
-2.558 -2.707 0.603
0.000 0.000 0.000
-1.551 -0.600 -1.406
0.454 -2.094 0.393
-1.460 -0.013 1.616
```

Its calculated volume is 82.7 Å³ per cell. As for the polymorph energy (0 for the lowest one): 0.00 kcal/mol of atoms. Its density of states at the Fermi level is 1.656 states/eV/atom. The calculation puts the total energy at -6.1054 eV/atom. Its space-group type is Pm-3m.

---

(2)
The following is a DFT calculation (GGA-PBE) of a relaxed structure of Rb2PbBr6.

The structure in POSCAR format:
```
Rb2PbBr6
1.0
7.920 0.000 0.000
0.000 7.858 -0.108
0.000 0.030 11.097
Pb Rb Br
2 4 12
Cartesian
3.960 3.929 -0.054
0.000 0.015 5.548
4.330 0.098 2.752
7.550 4.042 8.246
3.590 7.790 8.236
0.370 3.846 2.742
6.171 2.302 0.208
6.269 2.196 5.180
2.211 1.642 5.286
3.977 4.362 2.663
1.749 5.586 10.780
2.309 1.748 0.314
3.942 3.527 8.325
5.709 6.246 5.702
5.611 6.141 10.674
7.902 0.447 8.265
1.651 5.692 5.809
0.018 7.441 2.723
```

Its calculated volume is 690.6 Å³ per cell. The calculation puts the total energy at -2.8052 eV/atom. Its space-group type is P2_1/c.

---

(3)
The following is a DFT calculation (GGA-PBE) of a relaxed structure of AcGdP2.

The structure in POSCAR format:
```
AcGdP2
1.0
-2.863 -1.447 -2.793
-2.388 -3.385 0.963
-6.565 2.573 2.157
P Gd Ac
2 1 1
Cartesian
-8.761 -1.783 0.187
-3.055 -0.477 0.140
-5.908 -1.130 0.164
0.000 0.000 0.000
```

Its calculated volume is 108.9 Å³ per cell. As for the polymorph energy (0 for the lowest one): 0.00 kcal/mol of atoms. Its density of states at the Fermi level is 0.110 states/eV/atom. The calculation puts the total energy at -8.7460 eV/atom. Its space-group type is R-3m.

---

(4)
The following is a DFT calculation (GGA-PBE) of a relaxed structure of Na8B11C5.

The structure in POSCAR format:
```
Na8B11C5
1.0
-0.619 0.842 -2.598
-5.013 0.091 1.224
1.502 16.374 4.946
B C Na
11 5 8
Cartesian
-1.560 2.080 1.046
-1.037 6.200 2.255
-0.510 14.330 4.763
-0.233 10.670 2.002
-4.071 6.670 1.622
-3.109 14.793 4.023
-0.802 2.479 -0.515
-3.219 2.107 1.449
0.250 14.731 3.203
-2.431 10.295 3.914
-2.692 6.228 2.659
-4.315 2.541 0.342
-3.558 10.733 2.815
-2.011 14.358 5.130
-0.558 6.609 0.764
-0.742 10.261 3.500
-4.256 8.328 3.712
-2.050 8.689 1.794
-4.635 4.199 2.465
-3.502 16.433 6.157
-1.693 12.700 3.008
-2.438 4.574 0.553
-1.324 16.834 4.259
-3.877 12.339 4.921
```

Its calculated volume is 248.2 Å³ per cell. As for the polymorph energy (0 for the lowest one): 0.25 kcal/mol of atoms. Its density of states at the Fermi level is 0.129 states/eV/atom. The calculation puts the total energy at -5.3095 eV/atom. Its space-group type is Pm.

---

(5)
The following is a DFT calculation (GGA-PBE) of a relaxed structure of Ca5Pb.

The structure in POSCAR format:
```
Ca5Pb
1.0
-0.962 2.896 6.249
-5.198 4.515 0.977
-5.495 -1.806 3.860
Ca Pb
5 1
Cartesian
-7.290 3.507 6.934
-4.681 1.239 6.444
-2.914 1.401 2.771
-4.531 4.413 4.996
-6.807 2.052 3.797
0.000 0.000 0.000
```

Its calculated volume is 237.8 Å³ per cell. As for the polymorph energy (0 for the lowest one): 7.32 kcal/mol of atoms. Its density of states at the Fermi level is 1.120 states/eV/atom. The calculation puts the total energy at -2.1886 eV/atom. Its space-group type is F-43m.

---

(6)
The following is a DFT calculation (GGA-PBE) of a relaxed structure of LiTmScMo.

The structure in POSCAR format:
```
LiTmScMo
1.0
4.835 0.000 0.000
2.418 4.187 0.000
2.418 1.396 3.948
Sc Li Tm Mo
1 1 1 1
Cartesian
2.418 1.396 0.987
0.000 0.000 0.000
7.253 4.187 2.961
4.835 2.792 1.974
```

Its calculated volume is 79.9 Å³ per cell. Its density of states at the Fermi level is 1.499 states/eV/atom. The calculation puts the total energy at -5.6554 eV/atom. Its space-group type is F-43m.